# Li2Ce5Pb5

A relaxed Li2Ce5Pb5 crystal (PBE, the Alexandria database).

Calculated values
The value obtained for the total magnetization is 4.783 μB/f.u. Its uncorrected energy is -4.624 eV per atom. The value obtained for the formation energy is -0.29 eV/atom.

abc: 6.695 6.695 12.842
angles: 115.26 115.26 41.60
Positions (direct):
Li  0.039  0.039  0.282
Li  0.961  0.961  0.718
Ce  0.322  0.322  0.462
Ce  0.328  0.328  0.245
Ce  0.500  0.500  0.000
Ce  0.672  0.672  0.755
Ce  0.678  0.678  0.538
Pb  0.000  0.000  0.500
Pb  0.156  0.156  0.942
Pb  0.347  0.347  0.723
Pb  0.653  0.653  0.277
Pb  0.844  0.844  0.058

---

# Zr5Sc5Ga6

A relaxed Zr5Sc5Ga6 crystal (PBE, the Alexandria database).

Calculated values
The value obtained for the total magnetization is 0.000 μB/f.u. Its uncorrected energy is -6.297 eV per atom. The value obtained for the formation energy is -0.51 eV/atom.

abc: 5.850 8.050 8.050
angles: 119.64 90.00 90.00
Positions (direct):
Zr  0.000  0.000  0.000
Zr  0.000  0.237  0.473
Zr  0.000  0.473  0.237
Zr  0.500  0.001  0.239
Zr  0.500  0.239  0.001
Sc  0.250  0.572  0.906
Sc  0.250  0.906  0.572
Sc  0.500  0.478  0.478
Sc  0.750  0.572  0.906
Sc  0.750  0.906  0.572
Ga  0.000  0.239  0.838
Ga  0.000  0.639  0.639
Ga  0.000  0.838  0.239
Ga  0.500  0.238  0.637
Ga  0.500  0.637  0.238
Ga  0.500  0.843  0.843